*A*
Below is a relaxed TlGa2Sn3 crystal, with properties calculated at the GGA-PBE level.

```
TlGa2Sn3
1.0
4.5629 0.0000 -1.1568
-0.9775 7.7356 -3.8556
-0.0704 -0.8015 9.2999
Ga Sn Tl
4 6 2
Direct
0.5260 0.1782 0.0520
0.2324 0.8848 0.4647
0.4740 0.8218 0.9480
0.7676 0.1152 0.5353
0.6042 0.7227 0.2084
0.3958 0.2773 0.7916
0.7140 0.3727 0.4279
0.0690 0.4370 0.1379
0.2860 0.6273 0.5721
0.9310 0.5630 0.8621
0.1120 0.0467 0.2239
0.8880 0.9533 0.7761
```

*B*
Below is a relaxed TlGa2Sn3 crystal, with properties calculated at the GGA-PBE level.

```
TlGa2Sn3
1.0
4.9173 0.0000 0.0000
-2.4587 4.2585 0.0000
0.0000 0.0000 15.2753
Sn Ga Tl
6 4 2
Direct
0.3333 0.6667 0.3686
0.6667 0.3333 0.8686
0.0000 0.0000 0.0000
0.6667 0.3333 0.6314
0.0000 0.0000 0.5000
0.3333 0.6667 0.1314
0.6667 0.3333 0.4189
0.6667 0.3333 0.0811
0.3333 0.6667 0.5811
0.3333 0.6667 0.9189
0.0000 0.0000 0.2500
0.0000 0.0000 0.7500
```

Energy ordering: *A* at the bottom, the next structure 0.030 eV/atom above.